This record from Alexandria via LeMat-Bulk describes a relaxed CaAsBr4 crystal. The functional is PBE-GGA.

CIF file:
```
data_CaAsBr4
_symmetry_space_group_name_H-M 'P 1'
_symmetry_Int_Tables_number 1
_symmetry_space_group_name_Hall 'P 1'
_cell_length_a 6.407
_cell_length_b 6.407
_cell_length_c 6.407
_cell_angle_alpha 60.00
_cell_angle_beta 60.00
_cell_angle_gamma 60.00
loop_
_atom_site_label
_atom_site_fract_x
_atom_site_fract_y
_atom_site_fract_z
Ca1 0.750 0.750 0.750
As1 0.000 0.000 0.000
Br1 0.874 0.375 0.375
Br2 0.375 0.375 0.874
Br3 0.375 0.874 0.375
Br4 0.375 0.375 0.375
```

**Symmetry**: F-43m, No. 216
**Total DFT energy (no corrections)**: -2.109 eV/atom

This record from Alexandria via LeMat-Bulk describes a relaxed CaAsBr2 crystal. The functional is PBE-GGA.

CIF file:
```
data_CaAsBr2
_symmetry_space_group_name_H-M 'P 1'
_symmetry_Int_Tables_number 1
_symmetry_space_group_name_Hall 'P 1'
_cell_length_a 5.990
_cell_length_b 5.990
_cell_length_c 5.990
_cell_angle_alpha 145.14
_cell_angle_beta 117.03
_cell_angle_gamma 74.04
loop_
_atom_site_label
_atom_site_fract_x
_atom_site_fract_y
_atom_site_fract_z
As1 0.250 0.750 0.500
Ca1 0.750 0.250 0.500
Br1 0.991 0.991 0.000
Br2 0.509 0.509 0.000
```

**Symmetry**: Immm, No. 71
**E above lowest polymorph**: 1.22 eV per formula unit

This record from Alexandria via LeMat-Bulk describes a relaxed CaAsBr2 crystal. The functional is PBE-GGA.

CIF file:
```
data_CaAsBr2
_symmetry_space_group_name_H-M 'P 1'
_symmetry_Int_Tables_number 1
_symmetry_space_group_name_Hall 'P 1'
_cell_length_a 4.160
_cell_length_b 4.160
_cell_length_c 7.211
_cell_angle_alpha 90.00
_cell_angle_beta 90.00
_cell_angle_gamma 90.00
loop_
_atom_site_label
_atom_site_fract_x
_atom_site_fract_y
_atom_site_fract_z
As1 0.500 0.500 0.661
Ca1 0.000 0.000 0.573
Br1 0.000 0.000 0.952
Br2 0.500 0.500 0.314
```

**Symmetry**: P4mm, No. 99
**E above lowest polymorph**: 0.93 eV per formula unit

This record from Alexandria via LeMat-Bulk describes a relaxed CaAsBr2 crystal. The functional is PBE-GGA.

CIF file:
```
data_CaAsBr2
_symmetry_space_group_name_H-M 'P 1'
_symmetry_Int_Tables_number 1
_symmetry_space_group_name_Hall 'P 1'
_cell_length_a 11.313
_cell_length_b 11.313
_cell_length_c 11.313
_cell_angle_alpha 19.99
_cell_angle_beta 19.99
_cell_angle_gamma 19.99
loop_
_atom_site_label
_atom_site_fract_x
_atom_site_fract_y
_atom_site_fract_z
As1 0.750 0.750 0.750
Ca1 0.250 0.250 0.250
Br1 0.969 0.969 0.969
Br2 0.531 0.531 0.531
```

**Symmetry**: R-3m, No. 166
**E above lowest polymorph**: 0.64 eV per formula unit